Here is an optimized crystal structure of Rb2CaHPb from the Alexandria database. Energies are from PBE.

Results
DOS(E_F): 0.4008 states/eV per atom
Raw total energy: -11.31 eV/cell
Volume: 33.4 Å³ per atom
Total magnetization: 0.00 μB per formula unit

Cell and atoms, written as CIF:
```
data_Rb2CaHPb
_cell_length_a 5.7146
_cell_length_b 5.7146
_cell_length_c 5.1174
_cell_angle_alpha 90.00
_cell_angle_beta 90.00
_cell_angle_gamma 90.00
_symmetry_space_group_name_H-M 'P 4/m m m'
_symmetry_Int_Tables_number 123
_symmetry_space_group_name_Hall '-P 4 2'
loop_
_atom_site_label
_atom_site_type_symbol
_atom_site_fract_x
_atom_site_fract_y
_atom_site_fract_z
Rb1 Rb 0.0000 0.5000 0.0000
Ca1 Ca 0.0000 0.0000 0.5000
H1 H 0.0000 0.0000 0.0000
Pb1 Pb 0.5000 0.5000 0.5000
```

---

Here is an optimized crystal structure of Ce2NdYSe5 from the Alexandria database. Energies are from PBE.

Results
DOS(E_F): 2.1211 states/eV per atom
Raw total energy: -52.32 eV/cell
Volume: 32.2 Å³ per atom
Total magnetization: 3.45 μB per formula unit

Cell and atoms, written as CIF:
```
data_Ce2NdYSe5
_cell_length_a 5.1286
_cell_length_b 5.1286
_cell_length_c 11.0031
_cell_angle_alpha 90.00
_cell_angle_beta 90.00
_cell_angle_gamma 90.00
_symmetry_space_group_name_H-M 'P 4/m m m'
_symmetry_Int_Tables_number 123
_symmetry_space_group_name_Hall '-P 4 2'
loop_
_atom_site_label
_atom_site_type_symbol
_atom_site_fract_x
_atom_site_fract_y
_atom_site_fract_z
Ce1 Ce 0.0000 0.0000 0.1895
Nd1 Nd 0.5000 0.5000 0.5000
Y1 Y 0.5000 0.5000 0.0000
Se1 Se 0.0000 0.0000 0.5000
Se2 Se 0.0000 0.5000 0.0000
Se3 Se 0.5000 0.5000 0.2510
```